# Dy3Tm6Mg PBE relaxed
# * polymorph energy (0 for the lowest one): 110.9 meV/atom
# * magnetization: 0.000 μB/f.u.
# * energy relative to the elements: 0.1344 eV per atom
# * total DFT energy (no corrections): -40.9 eV/f.u.
data_Dy3Tm6Mg
_chemical_formula_sum 'Dy12 Tm24 Mg4'
_cell_length_a 9.1556
_cell_length_b 15.0156
_cell_length_c 8.8097
_cell_angle_alpha 90.00
_cell_angle_beta 90.00
_cell_angle_gamma 90.00
_symmetry_space_group_name_H-M 'C m c 21'
_symmetry_Int_Tables_number 36
loop_
_symmetry_equiv_pos_as_xyz
'x,y,z'
'-x,-y,z+1/2'
'-x,y,z'
'x,-y,z+1/2'
'x+1/2,y+1/2,z'
'-x+1/2,-y+1/2,z+1/2'
'-x+1/2,y+1/2,z'
'x+1/2,-y+1/2,z+1/2'
loop_
_atom_site_label
_atom_site_type_symbol
_atom_site_fract_x
_atom_site_fract_y
_atom_site_fract_z
_atom_site_occupancy
Dy1 Dy 0.0000 0.0414 0.0000 1
Dy2 Dy 0.1778 0.3535 0.4813 1
Tm1 Tm 0.0000 0.2117 0.2489 1
Tm2 Tm 0.0000 0.4390 0.1272 1
Tm3 Tm 0.1745 0.1504 0.6419 1
Tm4 Tm 0.2296 0.4376 0.8125 1
Mg1 Mg 0.0000 0.2729 0.8876 1

***

# Dy2Tm3Mg7 PBE relaxed
# * magnetization: 0.261 μB/f.u.
# * energy relative to the elements: 0.1382 eV per atom
# * total DFT energy (no corrections): -32.1 eV/f.u.
data_Dy2Tm3Mg7
_chemical_formula_sum 'Dy4 Tm6 Mg14'
_cell_length_a 5.1124
_cell_length_b 25.9852
_cell_length_c 5.1013
_cell_angle_alpha 90.00
_cell_angle_beta 90.00
_cell_angle_gamma 90.00
_symmetry_space_group_name_H-M 'C m m m'
_symmetry_Int_Tables_number 65
_symmetry_space_group_name_Hall '-C 2 2'
loop_
_atom_site_label
_atom_site_type_symbol
_atom_site_fract_x
_atom_site_fract_y
_atom_site_fract_z
_atom_site_occupancy
Dy1 Dy 0.0000 0.1447 0.0000 1
Tm1 Tm 0.0000 0.3451 0.5000 1
Tm2 Tm 0.0000 0.5000 0.5000 1
Mg1 Mg 0.0000 0.0000 0.0000 1
Mg2 Mg 0.0000 0.0713 0.5000 1
Mg3 Mg 0.0000 0.2719 0.0000 1
Mg4 Mg 0.0000 0.4290 0.0000 1

***

# Dy4TmMg7 PBE relaxed
# * polymorph energy (0 for the lowest one): 181.1 meV/atom
# * magnetization: 0.000 μB/f.u.
# * energy relative to the elements: 0.1586 eV per atom
# * total DFT energy (no corrections): -32.1 eV/f.u.
data_Dy4TmMg7
_chemical_formula_sum 'Dy8 Tm2 Mg14'
_cell_length_a 11.4195
_cell_length_b 5.6346
_cell_length_c 11.5370
_cell_angle_alpha 90.00
_cell_angle_beta 115.31
_cell_angle_gamma 90.00
_symmetry_space_group_name_H-M 'C 1 2/m 1'
_symmetry_Int_Tables_number 12
loop_
_symmetry_equiv_pos_as_xyz
'x,y,z'
'-x,-y,-z'
'-x,y,-z'
'x,-y,z'
'x+1/2,y+1/2,z'
'-x+1/2,-y+1/2,-z'
'-x+1/2,y+1/2,-z'
'x+1/2,-y+1/2,z'
loop_
_atom_site_label
_atom_site_type_symbol
_atom_site_fract_x
_atom_site_fract_y
_atom_site_fract_z
_atom_site_occupancy
Dy1 Dy 0.0672 0.0000 0.3266 1
Dy2 Dy 0.1619 0.5000 0.7792 1
Tm1 Tm 0.0000 0.5000 0.0000 1
Mg1 Mg 0.0000 0.0000 0.0000 1
Mg2 Mg 0.1264 0.5000 0.4961 1
Mg3 Mg 0.2026 0.0000 0.9230 1
Mg4 Mg 0.2473 0.5000 0.3173 1

***

# Dy12Tm5Mg2 PBE relaxed
# * magnetization: 0.001 μB/f.u.
# * energy relative to the elements: 0.1045 eV per atom
# * total DFT energy (no corrections): -78.8 eV/f.u.
data_Dy12Tm5Mg2
_chemical_formula_sum 'Dy24 Tm10 Mg4'
_cell_length_a 15.6935
_cell_length_b 9.0200
_cell_length_c 8.3047
_cell_angle_alpha 90.00
_cell_angle_beta 90.37
_cell_angle_gamma 90.00
_symmetry_space_group_name_H-M 'C 1 2/m 1'
_symmetry_Int_Tables_number 12
loop_
_symmetry_equiv_pos_as_xyz
'x,y,z'
'-x,-y,-z'
'-x,y,-z'
'x,-y,z'
'x+1/2,y+1/2,z'
'-x+1/2,-y+1/2,-z'
'-x+1/2,y+1/2,-z'
'x+1/2,-y+1/2,z'
loop_
_atom_site_label
_atom_site_type_symbol
_atom_site_fract_x
_atom_site_fract_y
_atom_site_fract_z
_atom_site_occupancy
Dy1 Dy 0.0575 0.0000 0.3351 1
Dy2 Dy 0.0904 0.5000 0.8940 1
Dy3 Dy 0.1244 0.1952 0.6661 1
Dy4 Dy 0.1544 0.3141 0.2436 1
Tm1 Tm 0.0000 0.5000 0.5000 1
Tm2 Tm 0.1983 0.0000 0.0078 1
Tm3 Tm 0.2353 0.5000 0.5794 1
Mg1 Mg 0.0000 0.1725 0.0000 1